Below is an optimized crystal structure of Mg2AlZn, with properties calculated at the GGA-PBE level.

Output
* formation energy from the elements: -0.1 eV/f.u.
* total magnetization: 0.00 Bohr magnetons per cell
* density of states at the Fermi level: 0.379 states/eV per atom

abc: 4.255 4.255 4.151
angles: 90.00 90.00 90.00
Fractional coordinates of all 4 atoms:
Mg  0.000  0.500  0.000
Mg  0.500  0.000  0.000
Al  0.000  0.000  0.500
Zn  0.500  0.500  0.500